VASP calculation (GGA+U) on a geometry-optimized RbCoBrF2 structure.

Output
Calculated volume (Å³/f.u.): 104.8
Energy above the most stable polymorph in this dataset (eV/atom): 0.0000
DOS(E_F) (states/eV/f.u.): 0.00

abc: 7.069 7.069 7.807
angles: 90.00 90.00 147.49
Fractional coordinates of all 10 atoms:
Rb: 0.230 0.770 0.750
Rb: 0.770 0.230 0.250
Co: 0.500 0.500 0.000
Co: 0.500 0.500 0.500
Br: 0.032 0.968 0.250
Br: 0.968 0.032 0.750
F: 0.362 0.638 0.039
F: 0.362 0.638 0.461
F: 0.638 0.362 0.539
F: 0.638 0.362 0.961